# 1
## Ba2SnSe4 (SCAN)

Data for a crystal of Ba2SnSe4 relaxed with PBEsol.

Output
formation energy from raw total energies = -1.54 eV per atom
DOS(E_F) = 0.0 states/eV/cell

```
data_Ba2SnSe4
_chemical_formula_sum 'Ba8 Sn4 Se16'
_symmetry_space_group_name_H-M 'P 1 21/c 1'
_symmetry_Int_Tables_number 14
_cell_length_a 8.4692
_cell_length_b 9.3142
_cell_length_c 12.3306
_cell_angle_alpha 90.00
_cell_angle_beta 114.32
_cell_angle_gamma 90.00
loop_
_symmetry_equiv_pos_as_xyz
'x,y,z'
'-x,-y,-z'
'-x,y+1/2,-z+1/2'
'x,-y+1/2,z+1/2'
loop_
_atom_site_label
_atom_site_type_symbol
_atom_site_fract_x
_atom_site_fract_y
_atom_site_fract_z
Ba1 Ba 0.0341 0.1434 0.3385
Ba2 Ba 0.4030 0.1159 0.1536
Sn1 Sn 0.3072 0.6857 0.9949
Se1 Se 0.0735 0.6292 0.4629
Se2 Se 0.2584 0.6226 0.7829
Se3 Se 0.2673 0.0257 0.6121
Se4 Se 0.4036 0.1881 0.8886
```


# 2
## Li3HgBr (SCAN)

Data for a crystal of Li3HgBr relaxed with PBEsol.

Output
formation energy from raw total energies = -0.57 eV per atom
DOS(E_F) = 2.6 states/eV/cell

```
data_Li3HgBr
_chemical_formula_sum 'Li3 Hg1 Br1'
_symmetry_space_group_name_H-M 'P m -3 m'
_symmetry_Int_Tables_number 221
_symmetry_space_group_name_Hall '-P 4 2 3'
_cell_length_a 4.8170
_cell_length_b 4.8170
_cell_length_c 4.8170
_cell_angle_alpha 90.00
_cell_angle_beta 90.00
_cell_angle_gamma 90.00
loop_
_atom_site_label
_atom_site_type_symbol
_atom_site_fract_x
_atom_site_fract_y
_atom_site_fract_z
Li1 Li 0.0000 0.0000 0.5000
Hg1 Hg 0.5000 0.5000 0.5000
Br1 Br 0.0000 0.0000 0.0000
```


# 3
## Sc2AlAg (SCAN)

Data for a crystal of Sc2AlAg relaxed with PBEsol.

Output
formation energy = -1.63 eV/f.u.
DOS(E_F) = 2.7 states/eV/cell

```
data_Sc2AlAg
_chemical_formula_sum 'Sc2 Al1 Ag1'
_symmetry_space_group_name_H-M 'P m m 2'
_symmetry_Int_Tables_number 25
_cell_length_a 3.2830
_cell_length_b 4.7644
_cell_length_c 4.9003
_cell_angle_alpha 90.00
_cell_angle_beta 90.00
_cell_angle_gamma 90.00
loop_
_symmetry_equiv_pos_as_xyz
'x,y,z'
'-x,-y,z'
'-x,y,z'
'x,-y,z'
loop_
_atom_site_label
_atom_site_type_symbol
_atom_site_fract_x
_atom_site_fract_y
_atom_site_fract_z
Sc1 Sc 0.0000 0.0000 0.0000
Sc2 Sc 0.0000 0.5000 0.4326
Al1 Al 0.5000 0.5000 0.9257
Ag1 Ag 0.5000 0.0000 0.5255
```


# 4
## MnTePtI2 (SCAN)

Data for a crystal of MnTePtI2 relaxed with PBEsol.

Output
formation energy from raw total energies = 0.51 eV per atom
DOS(E_F) = 1.2 states/eV/cell

```
data_MnTePtI2
_chemical_formula_sum 'Mn1 Te1 Pt1 I2'
_symmetry_space_group_name_H-M 'P 4/m m m'
_symmetry_Int_Tables_number 123
_symmetry_space_group_name_Hall '-P 4 2'
_cell_length_a 6.0544
_cell_length_b 6.0544
_cell_length_c 4.8677
_cell_angle_alpha 90.00
_cell_angle_beta 90.00
_cell_angle_gamma 90.00
loop_
_atom_site_label
_atom_site_type_symbol
_atom_site_fract_x
_atom_site_fract_y
_atom_site_fract_z
Mn1 Mn 0.0000 0.0000 0.0000
Te1 Te 0.5000 0.5000 0.5000
Pt1 Pt 0.5000 0.5000 0.0000
I1 I 0.0000 0.5000 0.5000
```


# 5
## ScBeFe2P (SCAN)

Data for a crystal of ScBeFe2P relaxed with PBEsol.

Output
formation energy = 9.02 eV/f.u.
DOS(E_F) = 3.5 states/eV/cell

```
data_ScBeFe2P
_chemical_formula_sum 'Sc1 Be1 Fe2 P1'
_symmetry_space_group_name_H-M 'P 4/m m m'
_symmetry_Int_Tables_number 123
_symmetry_space_group_name_Hall '-P 4 2'
_cell_length_a 4.2633
_cell_length_b 4.2633
_cell_length_c 4.5287
_cell_angle_alpha 90.00
_cell_angle_beta 90.00
_cell_angle_gamma 90.00
loop_
_atom_site_label
_atom_site_type_symbol
_atom_site_fract_x
_atom_site_fract_y
_atom_site_fract_z
Sc1 Sc 0.0000 0.0000 0.0000
Be1 Be 0.0000 0.0000 0.5000
Fe1 Fe 0.0000 0.5000 0.0000
P1 P 0.5000 0.5000 0.5000
```


# 6
## SiAsRh (SCAN)

Data for a crystal of SiAsRh relaxed with PBEsol.

Output
formation energy from raw total energies = -0.24 eV per atom
ΔE to the lowest computed polymorph = 0 meV per atom
DOS(E_F) = 1.4 states/eV/cell

```
data_SiAsRh
_chemical_formula_sum 'Si1 As1 Rh1'
_symmetry_space_group_name_H-M 'P 3 m 1'
_symmetry_Int_Tables_number 156
_cell_length_a 3.1080
_cell_length_b 3.1080
_cell_length_c 5.3670
_cell_angle_alpha 90.00
_cell_angle_beta 90.00
_cell_angle_gamma 120.00
loop_
_symmetry_equiv_pos_as_xyz
'x,y,z'
'-y,x-y,z'
'-x+y,-x,z'
'-y,-x,z'
'-x+y,y,z'
'x,x-y,z'
loop_
_atom_site_label
_atom_site_type_symbol
_atom_site_fract_x
_atom_site_fract_y
_atom_site_fract_z
Si1 Si 0.0000 0.0000 0.0000
As1 As 0.3333 0.6667 0.6449
Rh1 Rh 0.6667 0.3333 0.3011
```


# 7
## YCdAs2 (SCAN)

Data for a crystal of YCdAs2 relaxed with PBEsol.

Output
formation energy = -2.05 eV/f.u.
DOS(E_F) = 3.5 states/eV/cell

```
data_YCdAs2
_chemical_formula_sum 'Y2 Cd2 As4'
_symmetry_space_group_name_H-M 'I 4/m m m'
_symmetry_Int_Tables_number 139
_symmetry_space_group_name_Hall '-I 4 2'
_cell_length_a 4.4266
_cell_length_b 4.4266
_cell_length_c 8.4816
_cell_angle_alpha 90.00
_cell_angle_beta 90.00
_cell_angle_gamma 90.00
loop_
_atom_site_label
_atom_site_type_symbol
_atom_site_fract_x
_atom_site_fract_y
_atom_site_fract_z
Y1 Y 0.0000 0.0000 0.0000
Cd1 Cd 0.0000 0.0000 0.5000
As1 As 0.0000 0.5000 0.2500
```


# 8
## CaMnSi3 (SCAN)

Data for a crystal of CaMnSi3 relaxed with PBEsol.

Output
formation energy from raw total energies = 0.01 eV per atom
DOS(E_F) = 1.8 states/eV/cell

```
data_CaMnSi3
_chemical_formula_sum 'Ca1 Mn1 Si3'
_symmetry_space_group_name_H-M 'P m -3 m'
_symmetry_Int_Tables_number 221
_symmetry_space_group_name_Hall '-P 4 2 3'
_cell_length_a 4.4309
_cell_length_b 4.4309
_cell_length_c 4.4309
_cell_angle_alpha 90.00
_cell_angle_beta 90.00
_cell_angle_gamma 90.00
loop_
_atom_site_label
_atom_site_type_symbol
_atom_site_fract_x
_atom_site_fract_y
_atom_site_fract_z
Ca1 Ca 0.0000 0.0000 0.0000
Mn1 Mn 0.5000 0.5000 0.5000
Si1 Si 0.0000 0.5000 0.5000
```


# 9
## BaMgAg (SCAN)

Data for a crystal of BaMgAg relaxed with PBEsol.

Output
formation energy = -0.42 eV/f.u.
DOS(E_F) = 2.9 states/eV/cell

```
data_BaMgAg
_chemical_formula_sum 'Ba2 Mg2 Ag2'
_symmetry_space_group_name_H-M 'I 4 m m'
_symmetry_Int_Tables_number 107
_symmetry_space_group_name_Hall 'I 4 -2'
_cell_length_a 3.7315
_cell_length_b 3.7315
_cell_length_c 12.2811
_cell_angle_alpha 90.00
_cell_angle_beta 90.00
_cell_angle_gamma 90.00
loop_
_atom_site_label
_atom_site_type_symbol
_atom_site_fract_x
_atom_site_fract_y
_atom_site_fract_z
Ba1 Ba 0.0000 0.0000 0.0000
Mg1 Mg 0.0000 0.0000 0.2826
Ag1 Ag 0.0000 0.0000 0.6913
```


# 10
## BaAu2Cl (SCAN)

Data for a crystal of BaAu2Cl relaxed with PBEsol.

Output
formation energy from raw total energies = -0.90 eV per atom
ΔE to the lowest computed polymorph = 0 meV per atom
DOS(E_F) = 0.7 states/eV/cell

```
data_BaAu2Cl
_chemical_formula_sum 'Ba1 Au2 Cl1'
_symmetry_space_group_name_H-M 'P 4/m m m'
_symmetry_Int_Tables_number 123
_symmetry_space_group_name_Hall '-P 4 2'
_cell_length_a 4.4714
_cell_length_b 4.4714
_cell_length_c 5.5814
_cell_angle_alpha 90.00
_cell_angle_beta 90.00
_cell_angle_gamma 90.00
loop_
_atom_site_label
_atom_site_type_symbol
_atom_site_fract_x
_atom_site_fract_y
_atom_site_fract_z
Ba1 Ba 0.0000 0.0000 0.0000
Au1 Au 0.5000 0.5000 0.2506
Cl1 Cl 0.0000 0.0000 0.5000
```


# 11
## HfZr2TaP (SCAN)

Data for a crystal of HfZr2TaP relaxed with PBEsol.

Output
formation energy = 6.31 eV/f.u.
DOS(E_F) = 4.3 states/eV/cell

```
data_HfZr2TaP
_chemical_formula_sum 'Hf1 Zr2 Ta1 P1'
_symmetry_space_group_name_H-M 'P 4/m m m'
_symmetry_Int_Tables_number 123
_symmetry_space_group_name_Hall '-P 4 2'
_cell_length_a 5.0167
_cell_length_b 5.0167
_cell_length_c 4.6490
_cell_angle_alpha 90.00
_cell_angle_beta 90.00
_cell_angle_gamma 90.00
loop_
_atom_site_label
_atom_site_type_symbol
_atom_site_fract_x
_atom_site_fract_y
_atom_site_fract_z
Hf1 Hf 0.0000 0.0000 0.0000
Zr1 Zr 0.0000 0.5000 0.0000
Ta1 Ta 0.5000 0.5000 0.5000
P1 P 0.0000 0.0000 0.5000
```


# 12
## SiNiP2S (SCAN)

Data for a crystal of SiNiP2S relaxed with PBEsol.

Output
formation energy from raw total energies = 0.82 eV per atom
DOS(E_F) = 4.3 states/eV/cell

```
data_SiNiP2S
_chemical_formula_sum 'Si1 Ni1 P2 S1'
_symmetry_space_group_name_H-M 'P 4/m m m'
_symmetry_Int_Tables_number 123
_symmetry_space_group_name_Hall '-P 4 2'
_cell_length_a 4.2323
_cell_length_b 4.2323
_cell_length_c 4.6699
_cell_angle_alpha 90.00
_cell_angle_beta 90.00
_cell_angle_gamma 90.00
loop_
_atom_site_label
_atom_site_type_symbol
_atom_site_fract_x
_atom_site_fract_y
_atom_site_fract_z
Si1 Si 0.0000 0.0000 0.0000
Ni1 Ni 0.5000 0.5000 0.5000
P1 P 0.0000 0.5000 0.5000
S1 S 0.5000 0.5000 0.0000
```


# 13
## ZnMo3 (SCAN)

Data for a crystal of ZnMo3 relaxed with PBEsol.

Output
formation energy = 0.29 eV/f.u.
ΔE to the lowest computed polymorph = 50 meV per atom
DOS(E_F) = 3.8 states/eV/cell

```
data_ZnMo3
_chemical_formula_sum 'Zn2 Mo6'
_symmetry_space_group_name_H-M 'C m m m'
_symmetry_Int_Tables_number 65
_symmetry_space_group_name_Hall '-C 2 2'
_cell_length_a 3.1755
_cell_length_b 4.3112
_cell_length_c 8.7290
_cell_angle_alpha 90.00
_cell_angle_beta 90.00
_cell_angle_gamma 90.00
loop_
_atom_site_label
_atom_site_type_symbol
_atom_site_fract_x
_atom_site_fract_y
_atom_site_fract_z
Zn1 Zn 0.0000 0.0000 0.0000
Mo1 Mo 0.0000 0.0000 0.5000
Mo2 Mo 0.0000 0.5000 0.2491
```


# 14
## TaCrP3 (SCAN)

Data for a crystal of TaCrP3 relaxed with PBEsol.

Output
formation energy = 4.21 eV/f.u.
ΔE to the lowest computed polymorph = 361 meV per atom
DOS(E_F) = 4.0 states/eV/cell

```
data_TaCrP3
_chemical_formula_sum 'Ta1 Cr1 P3'
_symmetry_space_group_name_H-M 'P m -3 m'
_symmetry_Int_Tables_number 221
_symmetry_space_group_name_Hall '-P 4 2 3'
_cell_length_a 4.3464
_cell_length_b 4.3464
_cell_length_c 4.3464
_cell_angle_alpha 90.00
_cell_angle_beta 90.00
_cell_angle_gamma 90.00
loop_
_atom_site_label
_atom_site_type_symbol
_atom_site_fract_x
_atom_site_fract_y
_atom_site_fract_z
Ta1 Ta 0.0000 0.0000 0.0000
Cr1 Cr 0.5000 0.5000 0.5000
P1 P 0.0000 0.5000 0.5000
```


# 15
## AlV2O4 (SCAN)

Data for a crystal of AlV2O4 relaxed with PBEsol.

Output
formation energy from raw total energies = -2.87 eV per atom
ΔE to the lowest computed polymorph = 0 meV per atom
DOS(E_F) = 7.4 states/eV/cell

```
data_AlV2O4
_chemical_formula_sum 'Al4 V8 O16'
_symmetry_space_group_name_H-M 'I 41/a m d'
_symmetry_Int_Tables_number 141
_cell_length_a 5.7871
_cell_length_b 5.7871
_cell_length_c 8.1874
_cell_angle_alpha 90.00
_cell_angle_beta 90.00
_cell_angle_gamma 90.00
loop_
_symmetry_equiv_pos_as_xyz
'x,y,z'
'-x,-y,-z'
'-y+1/4,x+3/4,z+1/4'
'y+1/4,-x+3/4,-z+1/4'
'-x+1/2,-y,z+1/2'
'x+1/2,y,-z+1/2'
'y+1/4,-x+1/4,z+3/4'
'-y+1/4,x+1/4,-z+3/4'
'x,-y,-z'
'-x,y,z'
'-y+1/4,-x+1/4,-z+3/4'
'y+1/4,x+1/4,z+3/4'
'-x+1/2,y,-z+1/2'
'x+1/2,-y,z+1/2'
'y+1/4,x+3/4,-z+1/4'
'-y+1/4,-x+3/4,z+1/4'
'x+1/2,y+1/2,z+1/2'
'-x+1/2,-y+1/2,-z+1/2'
'-y+3/4,x+1/4,z+3/4'
'y+3/4,-x+1/4,-z+3/4'
'-x,-y+1/2,z'
'x,y+1/2,-z'
'y+3/4,-x+3/4,z+1/4'
'-y+3/4,x+3/4,-z+1/4'
'x+1/2,-y+1/2,-z+1/2'
'-x+1/2,y+1/2,z+1/2'
'-y+3/4,-x+3/4,-z+1/4'
'y+3/4,x+3/4,z+1/4'
'-x,y+1/2,-z'
'x,-y+1/2,z'
'y+3/4,x+1/4,-z+3/4'
'-y+3/4,-x+1/4,z+3/4'
loop_
_atom_site_label
_atom_site_type_symbol
_atom_site_fract_x
_atom_site_fract_y
_atom_site_fract_z
Al1 Al 0.0000 0.2500 0.3750
V1 V 0.0000 0.0000 0.0000
O1 O 0.0000 0.0014 0.7480
```


# 16
## MgTa2Be (SCAN)

Data for a crystal of MgTa2Be relaxed with PBEsol.

Output
formation energy = 1.58 eV/f.u.
ΔE to the lowest computed polymorph = 66 meV per atom
DOS(E_F) = 6.5 states/eV/cell

```
data_MgTa2Be
_chemical_formula_sum 'Mg2 Ta4 Be2'
_symmetry_space_group_name_H-M 'I -4 m 2'
_symmetry_Int_Tables_number 119
_symmetry_space_group_name_Hall 'I -4 -2'
_cell_length_a 3.8569
_cell_length_b 3.8569
_cell_length_c 8.5009
_cell_angle_alpha 90.00
_cell_angle_beta 90.00
_cell_angle_gamma 90.00
loop_
_atom_site_label
_atom_site_type_symbol
_atom_site_fract_x
_atom_site_fract_y
_atom_site_fract_z
Mg1 Mg 0.0000 0.0000 0.0000
Ta1 Ta 0.0000 0.0000 0.5000
Ta2 Ta 0.0000 0.5000 0.2500
Be1 Be 0.0000 0.5000 0.7500
```


# 17
## Al5Pt3 (SCAN)

Data for a crystal of Al5Pt3 relaxed with PBEsol.

Output
formation energy = -7.65 eV/f.u.
DOS(E_F) = 3.6 states/eV/cell

```
data_Al5Pt3
_chemical_formula_sum 'Al10 Pt6'
_symmetry_space_group_name_H-M 'C m m m'
_symmetry_Int_Tables_number 65
_symmetry_space_group_name_Hall '-C 2 2'
_cell_length_a 7.3547
_cell_length_b 8.0537
_cell_length_c 3.9097
_cell_angle_alpha 90.00
_cell_angle_beta 90.00
_cell_angle_gamma 90.00
loop_
_atom_site_label
_atom_site_type_symbol
_atom_site_fract_x
_atom_site_fract_y
_atom_site_fract_z
Al1 Al 0.0000 0.0000 0.0000
Al2 Al 0.2289 0.5000 0.5000
Al3 Al 0.2500 0.2500 0.0000
Pt1 Pt 0.0000 0.2238 0.5000
Pt2 Pt 0.0000 0.5000 0.0000
```


# 18
## Ti3TlHg (SCAN)

Data for a crystal of Ti3TlHg relaxed with PBEsol.

Output
formation energy = 5.26 eV/f.u.
DOS(E_F) = 7.3 states/eV/cell

```
data_Ti3TlHg
_chemical_formula_sum 'Ti3 Tl1 Hg1'
_symmetry_space_group_name_H-M 'P m -3 m'
_symmetry_Int_Tables_number 221
_symmetry_space_group_name_Hall '-P 4 2 3'
_cell_length_a 4.9856
_cell_length_b 4.9856
_cell_length_c 4.9856
_cell_angle_alpha 90.00
_cell_angle_beta 90.00
_cell_angle_gamma 90.00
loop_
_atom_site_label
_atom_site_type_symbol
_atom_site_fract_x
_atom_site_fract_y
_atom_site_fract_z
Ti1 Ti 0.0000 0.0000 0.5000
Tl1 Tl 0.0000 0.0000 0.0000
Hg1 Hg 0.5000 0.5000 0.5000
```


# 19
## AsRu2Se (SCAN)

Data for a crystal of AsRu2Se relaxed with PBEsol.

Output
formation energy from raw total energies = 0.71 eV per atom
ΔE to the lowest computed polymorph = 186 meV per atom
DOS(E_F) = 17.5 states/eV/cell

```
data_AsRu2Se
_chemical_formula_sum 'As4 Ru8 Se4'
_symmetry_space_group_name_H-M 'F -4 3 m'
_symmetry_Int_Tables_number 216
_symmetry_space_group_name_Hall 'F -4 2 3'
_cell_length_a 6.2307
_cell_length_b 6.2307
_cell_length_c 6.2307
_cell_angle_alpha 90.00
_cell_angle_beta 90.00
_cell_angle_gamma 90.00
loop_
_atom_site_label
_atom_site_type_symbol
_atom_site_fract_x
_atom_site_fract_y
_atom_site_fract_z
As1 As 0.0000 0.0000 0.0000
Ru1 Ru 0.0000 0.0000 0.5000
Ru2 Ru 0.2500 0.2500 0.7500
Se1 Se 0.2500 0.2500 0.2500
```


# 20
## ZrB3Pd (SCAN)

Data for a crystal of ZrB3Pd relaxed with PBEsol.

Output
formation energy = 9.75 eV/f.u.
ΔE to the lowest computed polymorph = 1054 meV per atom
DOS(E_F) = 2.6 states/eV/cell

```
data_ZrB3Pd
_chemical_formula_sum 'Zr1 B3 Pd1'
_symmetry_space_group_name_H-M 'P m -3 m'
_symmetry_Int_Tables_number 221
_symmetry_space_group_name_Hall '-P 4 2 3'
_cell_length_a 4.2389
_cell_length_b 4.2389
_cell_length_c 4.2389
_cell_angle_alpha 90.00
_cell_angle_beta 90.00
_cell_angle_gamma 90.00
loop_
_atom_site_label
_atom_site_type_symbol
_atom_site_fract_x
_atom_site_fract_y
_atom_site_fract_z
Zr1 Zr 0.0000 0.0000 0.0000
B1 B 0.0000 0.0000 0.5000
Pd1 Pd 0.5000 0.5000 0.5000
```